1.
This record from Alexandria via LeMat-Bulk describes RbTl3Pt3 after structural relaxation. The functional is GGA-PBE.

Values from the calculation:
Space group   R-3, No. 148
Crystal system   trigonal

Lattice parameters (Å, degrees): 6.9494 6.9494 10.3882 70.46 70.46 60.00
Fractional positions:
Tl 0.7780 0.7111 0.2610
Pt 0.6259 0.0633 0.5482
Tl 0.7501 0.2220 0.7390
Pt 0.2374 0.3741 0.4518
Tl 0.7111 0.2499 0.2610
Rb 0.3008 0.3008 0.0976
Tl 0.2499 0.7780 0.2610
Pt 0.9367 0.2374 0.4518
Rb 0.6992 0.6992 0.9024
Pt 0.0633 0.7626 0.5482
Pt 0.7626 0.6259 0.5482
Tl 0.2889 0.7501 0.7390
Tl 0.2220 0.2889 0.7390
Pt 0.3741 0.9367 0.4518

=====

2.
This record from Alexandria via LeMat-Bulk describes Rb3Tl4Pt2 after structural relaxation. The functional is GGA-PBE.

Values from the calculation:
Space group   C2/m, No. 12
Crystal system   monoclinic

Lattice parameters (Å, degrees): 5.2412 7.0253 9.7126 103.13 90.00 111.90
Fractional positions:
Rb 0.0000 0.0000 0.0000
Tl 0.1464 0.2927 0.4141
Tl 0.8536 0.7073 0.5859
Rb 0.5979 0.1958 0.6840
Pt 0.6812 0.3625 0.3402
Tl 0.7231 0.4462 0.0816
Rb 0.4021 0.8042 0.3160
Tl 0.2769 0.5538 0.9184
Pt 0.3188 0.6375 0.6598

=====

3.
This record from Alexandria via LeMat-Bulk describes Rb3Tl7Pt2 after structural relaxation. The functional is GGA-PBE.

Values from the calculation:
Space group   Cmmm, No. 65
Crystal system   orthorhombic

Lattice parameters (Å, degrees): 5.1419 5.2928 15.2531 99.99 90.00 90.00
Fractional positions:
Pt 0.0000 0.1283 0.2565
Tl 0.5000 0.0913 0.1827
Rb 0.5000 0.3168 0.6336
Tl 0.0000 0.4083 0.8166
Rb 0.5000 0.5000 0.0000
Tl 0.0000 0.0000 0.0000
Tl 0.5000 0.9087 0.8173
Rb 0.5000 0.6832 0.3664
Tl 0.0000 0.5917 0.1834
Tl 0.0000 0.2189 0.4378
Tl 0.0000 0.7811 0.5622
Pt 0.0000 0.8717 0.7435

=====

4.
This record from Alexandria via LeMat-Bulk describes RbTl3Pt3 after structural relaxation. The functional is GGA-PBE.

Values from the calculation:
Space group   Pm-3n, No. 223
Crystal system   cubic

Lattice parameters (Å, degrees): 7.6723 7.6723 7.6723 90.00 90.00 90.00
Fractional positions:
Pt 0.0000 0.2500 0.5000
Tl 0.7500 0.0000 0.5000
Tl 0.5000 0.7500 0.0000
Pt 0.5000 0.0000 0.2500
Rb 0.5000 0.5000 0.5000
Rb 0.0000 0.0000 0.0000
Pt 0.7500 0.5000 0.0000
Tl 0.0000 0.5000 0.2500
Pt 0.5000 0.0000 0.7500
Tl 0.0000 0.5000 0.7500
Tl 0.2500 0.0000 0.5000
Pt 0.2500 0.5000 0.0000
Tl 0.5000 0.2500 0.0000
Pt 0.0000 0.7500 0.5000

=====

5.
This record from Alexandria via LeMat-Bulk describes Rb2Tl3Pt3 after structural relaxation. The functional is GGA-PBE.

Values from the calculation:
Space group   Cmcm, No. 63
Crystal system   orthorhombic

Lattice parameters (Å, degrees): 4.6138 7.2664 15.2946 90.00 90.00 108.51
Fractional positions:
Tl 0.4337 0.8675 0.7500
Pt 0.4563 0.9126 0.4246
Pt 0.6325 0.2649 0.7500
Pt 0.4563 0.9126 0.0754
Pt 0.5437 0.0874 0.5754
Tl 0.1334 0.2668 0.8578
Rb 0.1536 0.3072 0.4152
Rb 0.8464 0.6928 0.5848
Tl 0.8666 0.7332 0.1422
Rb 0.1536 0.3072 0.0848
Tl 0.5663 0.1325 0.2500
Rb 0.8464 0.6928 0.9152
Pt 0.3675 0.7351 0.2500
Tl 0.1334 0.2668 0.6422
Pt 0.5437 0.0874 0.9246
Tl 0.8666 0.7332 0.3578

=====

6.
This record from Alexandria via LeMat-Bulk describes RbTl8Pt2 after structural relaxation. The functional is GGA-PBE.

Values from the calculation:
Space group   C2/m, No. 12
Crystal system   monoclinic

Lattice parameters (Å, degrees): 5.4532 8.0433 8.0433 107.38 96.55 96.55
Fractional positions:
Tl 0.9081 0.6530 0.9109
Tl 0.7148 0.3971 0.3971
Tl 0.5000 0.7221 0.2779
Rb 0.5000 0.0000 0.0000
Tl 0.2852 0.6029 0.6029
Pt 0.0000 0.7097 0.2903
Tl 0.9081 0.9109 0.6530
Tl 0.0919 0.0891 0.3470
Tl 0.5000 0.2779 0.7221
Tl 0.0919 0.3470 0.0891
Pt 0.0000 0.2903 0.7097

=====

7.
This record from Alexandria via LeMat-Bulk describes Rb4Tl4Pt after structural relaxation. The functional is GGA-PBE.

Values from the calculation:
Space group   I-42m, No. 121
Crystal system   tetragonal

Lattice parameters (Å, degrees): 6.5933 10.4251 6.5933 71.57 90.00 108.43
Fractional positions:
Tl 0.6706 0.8950 0.3294
Rb 0.0790 0.6916 0.3873
Rb 0.9210 0.3084 0.0790
Tl 0.2244 0.8950 0.7756
Tl 0.7756 0.1050 0.6706
Rb 0.3873 0.3084 0.6127
Tl 0.3294 0.1050 0.2244
Pt 0.0000 0.0000 0.0000
Rb 0.6127 0.6916 0.9210

=====

8.
This record from Alexandria via LeMat-Bulk describes Rb3Tl5Pt2 after structural relaxation. The functional is GGA-PBE.

Values from the calculation:
Space group   Ibam, No. 72
Crystal system   orthorhombic

Lattice parameters (Å, degrees): 8.3849 10.2908 10.2908 64.34 65.96 65.96
Fractional positions:
Rb 0.7500 0.0000 0.0000
Rb 0.1437 0.1023 0.6102
Tl 0.4849 0.2651 0.2651
Rb 0.8563 0.8977 0.3898
Tl 0.5151 0.7349 0.7349
Tl 0.2500 0.5000 0.5000
Pt 0.3296 0.0768 0.2641
Pt 0.1704 0.7359 0.9232
Tl 0.9849 0.2651 0.2651
Rb 0.6437 0.6102 0.1023
Tl 0.3968 0.7794 0.4271
Tl 0.6032 0.2206 0.5729
Rb 0.2500 0.0000 0.0000
Pt 0.8296 0.2641 0.0768
Tl 0.0151 0.7349 0.7349
Tl 0.7500 0.5000 0.5000
Pt 0.6704 0.9232 0.7359
Tl 0.8968 0.4271 0.7794
Tl 0.1032 0.5729 0.2206
Rb 0.3563 0.3898 0.8977

=====

9.
This record from Alexandria via LeMat-Bulk describes Rb4Tl5Pt3 after structural relaxation. The functional is GGA-PBE.

Values from the calculation:
Space group   P-1, No. 2
Crystal system   triclinic

Lattice parameters (Å, degrees): 5.3523 10.1828 12.1765 136.89 89.97 105.13
Fractional positions:
Tl 0.9999 0.0000 0.5000
Tl 0.6226 0.2419 0.1498
Rb 0.6843 0.3700 0.5532
Tl 0.3208 0.6444 0.1554
Pt 0.5000 0.0000 0.5000
Tl 0.6792 0.3556 0.8446
Rb 0.9533 0.9097 0.1424
Rb 0.3157 0.6300 0.4468
Rb 0.0467 0.0903 0.8576
Pt 0.2365 0.4704 0.8393
Tl 0.3774 0.7581 0.8502
Pt 0.7635 0.5296 0.1607

=====

10.
This record from Alexandria via LeMat-Bulk describes Rb2TlVPt after structural relaxation. The functional is GGA-PBE.

Values from the calculation:
Space group   P4/mmm, No. 123
Crystal system   tetragonal

Lattice parameters (Å, degrees): 6.5257 4.8368 6.5257 90.00 90.00 90.00
Fractional positions:
Rb 0.5000 0.0000 0.0000
Tl 0.5000 0.5000 0.5000
Pt 0.0000 0.0000 0.0000
Rb 0.0000 0.0000 0.5000
V 0.0000 0.5000 0.0000

=====

11.
This record from Alexandria via LeMat-Bulk describes RbTl2ZnPt after structural relaxation. The functional is GGA-PBE.

Values from the calculation:
Space group   P4/mmm, No. 123
Crystal system   tetragonal

Lattice parameters (Å, degrees): 5.4483 5.4483 5.0917 90.00 90.00 90.00
Fractional positions:
Zn 0.0000 0.0000 0.5000
Pt 0.0000 0.0000 0.0000
Rb 0.5000 0.5000 0.5000
Tl 0.5000 0.0000 0.0000
Tl 0.0000 0.5000 0.0000

=====

12.
This record from Alexandria via LeMat-Bulk describes RbUPt2 after structural relaxation. The functional is GGA-PBE.

Values from the calculation:
Space group   P4/mmm, No. 123
Crystal system   tetragonal

Lattice parameters (Å, degrees): 3.4950 3.4950 8.4615 90.00 90.00 90.00
Fractional positions:
Pt 0.0000 0.0000 0.8189
Pt 0.0000 0.0000 0.1811
Rb 0.5000 0.5000 0.5000
U 0.5000 0.5000 0.0000

=====

In Å³/atom, the V values for the records above are, in order, 28.626 35.746 34.069 32.259 30.390 30.033 45.039 35.080 34.938 41.195 30.228 25.839.
In eV per atom, the raw total energy values for the records above are, in order, -3.827 -2.832 -2.702 -3.653 -3.472 -2.939 -2.235 -2.783 -2.921 -3.358 -2.707 -6.441.
In eV per formula unit, the ΔH_f (0 K) values for the records above are, in order, -0.6 -1.0 -0.9 0.6 -0.6 -0.4 -0.7 -1.0 -1.2 2.7 -0.5 -1.4.